The following is a GGA-PBE calculation of crystalline CuSb2Ir at its relaxed geometry, from Alexandria via LeMat-Bulk.

Output
For the energy relative to the elements, uncorrected, the calculation gives 0.1869 eV per atom. The calculation puts the total magnetic moment at 0.00 μB per formula unit. The polymorph energy (0 for the lowest one) comes out at 161 meV/atom.

Geometry as POSCAR:
```
CuSb2Ir
1.0
0.000 3.345 3.345
3.345 0.000 3.345
3.345 3.345 0.000
Sb Ir Cu
2 1 1
Direct
0.250 0.250 0.250
0.750 0.750 0.750
0.500 0.500 0.500
0.000 0.000 0.000
```



The following is a GGA-PBE calculation of crystalline K2CeSb2S6 at its relaxed geometry, from Alexandria via LeMat-Bulk.

Output
For the energy relative to the elements, uncorrected, the calculation gives -1.0138 eV per atom. The calculation puts the total magnetic moment at 0.00 μB per formula unit.

Geometry as POSCAR:
```
K2CeSb2S6
1.0
7.032 -0.031 0.049
-3.503 6.098 0.049
-1.275 -2.192 7.481
K Ce Sb S
2 1 2 6
Direct
0.832 0.168 0.000
0.168 0.832 0.000
0.000 0.000 0.500
0.331 0.669 0.500
0.669 0.331 0.500
0.742 0.742 0.696
0.063 0.399 0.695
0.258 0.258 0.304
0.399 0.063 0.695
0.937 0.601 0.305
0.601 0.937 0.305
```



The following is a GGA-PBE calculation of crystalline Nd12DyTm7 at its relaxed geometry, from Alexandria via LeMat-Bulk.

Output
The calculation puts the total magnetic moment at 0.00 μB per formula unit. The value obtained for the energy relative to the elements is 0.22 eV/atom. The polymorph energy (0 for the lowest one) comes out at 0 meV/atom.

Geometry as POSCAR:
```
Nd12DyTm7
1.0
0.832 -6.122 6.304
-0.719 -6.696 -5.706
8.733 -0.664 -1.096
Nd Dy Tm
12 1 7
Direct
0.774 0.243 0.650
0.757 0.350 0.226
0.421 0.101 0.346
0.899 0.654 0.579
0.350 0.226 0.757
0.654 0.579 0.899
0.346 0.421 0.101
0.650 0.774 0.243
0.101 0.346 0.421
0.579 0.899 0.654
0.243 0.650 0.774
0.226 0.757 0.350
0.000 0.000 0.000
0.996 0.639 0.114
0.361 0.886 0.004
0.886 0.004 0.361
0.500 0.500 0.500
0.114 0.996 0.639
0.639 0.114 0.996
0.004 0.361 0.886
```



The following is a GGA-PBE calculation of crystalline CaSe at its relaxed geometry, from Alexandria via LeMat-Bulk.

Output
For the energy relative to the elements, uncorrected, the calculation gives -1.7440 eV per atom. The calculation puts the total magnetic moment at 0.00 μB per formula unit.

Geometry as POSCAR:
```
CaSe
1.0
-2.342 6.185 8.815
-6.792 -0.021 -8.679
-2.502 -3.751 1.967
Ca Se
6 6
Direct
0.661 0.072 0.250
0.589 0.661 0.750
0.928 0.589 0.250
0.339 0.928 0.750
0.411 0.339 0.250
0.072 0.411 0.750
0.921 0.324 0.250
0.597 0.921 0.750
0.676 0.597 0.250
0.079 0.676 0.750
0.403 0.079 0.250
0.324 0.403 0.750
```



The following is a GGA-PBE calculation of crystalline Pr6DyY2Er at its relaxed geometry, from Alexandria via LeMat-Bulk.

Output
The calculation puts the total magnetic moment at 0.00 μB per formula unit. The value obtained for the energy relative to the elements is 0.12 eV/atom.

Geometry as POSCAR:
```
Pr6DyY2Er
1.0
9.215 -1.987 -2.062
0.854 8.761 -2.024
0.854 -2.347 8.680
Pr Dy Y Er
12 2 4 2
Direct
0.056 0.116 0.765
0.444 0.235 0.884
0.944 0.884 0.235
0.556 0.765 0.116
0.310 0.994 0.436
0.190 0.564 0.006
0.690 0.006 0.564
0.810 0.436 0.994
0.116 0.707 0.485
0.384 0.515 0.293
0.884 0.293 0.515
0.616 0.485 0.707
0.250 0.970 0.030
0.750 0.030 0.970
0.452 0.798 0.704
0.048 0.296 0.202
0.548 0.202 0.296
0.952 0.704 0.798
0.250 0.412 0.588
0.750 0.588 0.412
```



The following is a GGA-PBE calculation of crystalline TaBeCd2 at its relaxed geometry, from Alexandria via LeMat-Bulk.

Output
The calculation puts the total magnetic moment at 0.00 μB per formula unit. The value obtained for the energy relative to the elements is 0.48 eV/atom.

Geometry as POSCAR:
```
TaBeCd2
1.0
-4.006 -3.943 1.323
-1.864 -3.550 -4.156
4.091 2.043 3.527
Be Cd Ta
1 2 1
Direct
0.255 0.755 0.500
0.024 0.024 0.000
0.750 0.250 0.500
0.471 0.471 0.000
```



The following is a GGA-PBE calculation of crystalline Be2ZnSe at its relaxed geometry, from Alexandria via LeMat-Bulk.

Output
For the energy relative to the elements, uncorrected, the calculation gives 0.4448 eV per atom. The calculation puts the total magnetic moment at 0.00 μB per formula unit. The polymorph energy (0 for the lowest one) comes out at 363 meV/atom.

Geometry as POSCAR:
```
Be2ZnSe
1.0
-1.214 -4.041 -0.507
1.668 1.401 -3.649
2.975 -1.016 0.970
Be Zn Se
2 1 1
Direct
0.000 0.000 0.000
0.500 0.500 0.000
0.000 0.500 0.500
0.500 0.000 0.500
```



The following is a GGA-PBE calculation of crystalline InGa2IrCl at its relaxed geometry, from Alexandria via LeMat-Bulk.

Output
For the energy relative to the elements, uncorrected, the calculation gives -0.0310 eV per atom. The calculation puts the total magnetic moment at 0.00 μB per formula unit. The polymorph energy (0 for the lowest one) comes out at 487 meV/atom.

Geometry as POSCAR:
```
InGa2IrCl
1.0
-4.243 2.007 1.023
-2.225 -3.395 -2.569
-0.408 -3.194 4.575
Cl Ir Ga In
1 1 2 1
Direct
0.000 0.000 0.500
0.000 0.000 0.000
0.000 0.500 0.000
0.500 0.000 0.000
0.500 0.500 0.500
```



The following is a GGA-PBE calculation of crystalline AsOs2Rh at its relaxed geometry, from Alexandria via LeMat-Bulk.

Output
The calculation puts the total magnetic moment at 0.00 μB per formula unit. The value obtained for the energy relative to the elements is 0.25 eV/atom.

Geometry as POSCAR:
```
AsOs2Rh
1.0
-0.701 5.237 0.982
-2.684 3.190 -3.391
0.039 -4.301 3.222
Rh As Os
1 1 2
Direct
0.750 0.250 0.500
0.250 0.750 0.500
0.038 0.038 0.000
0.462 0.462 0.000
```



The following is a GGA-PBE calculation of crystalline ErTmLuMg at its relaxed geometry, from Alexandria via LeMat-Bulk.

Output
The calculation puts the total magnetic moment at 0.00 μB per formula unit. The value obtained for the energy relative to the elements is 0.06 eV/atom.

Geometry as POSCAR:
```
ErTmLuMg
1.0
5.424 0.000 0.000
2.712 4.697 0.000
2.712 1.566 4.429
Mg Lu Tm Er
1 1 1 1
Direct
0.500 0.500 0.500
0.250 0.250 0.250
0.000 0.000 0.000
0.750 0.750 0.750
```



The following is a GGA-PBE calculation of crystalline Nd4ClO5 at its relaxed geometry, from Alexandria via LeMat-Bulk.

Output
For the energy relative to the elements, uncorrected, the calculation gives -2.9347 eV per atom. The calculation puts the total magnetic moment at 0.40 μB per formula unit.

Geometry as POSCAR:
```
Nd4ClO5
1.0
-5.323 2.096 1.824
2.009 -0.924 6.926
3.412 8.533 0.149
Nd Cl O
8 2 10
Direct
0.038 0.000 0.713
0.462 0.743 0.000
0.462 0.257 0.000
0.038 0.000 0.287
0.962 0.500 0.213
0.538 0.757 0.500
0.538 0.243 0.500
0.962 0.500 0.787
0.832 0.000 0.000
0.168 0.500 0.500
0.228 0.746 0.816
0.228 0.254 0.816
0.741 0.500 0.000
0.228 0.746 0.184
0.228 0.254 0.184
0.772 0.754 0.316
0.772 0.246 0.316
0.259 0.000 0.500
0.772 0.246 0.684
0.772 0.754 0.684
```



The following is a GGA-PBE calculation of crystalline Tb5Nd3Tm2 at its relaxed geometry, from Alexandria via LeMat-Bulk.

Output
The calculation puts the total magnetic moment at 0.00 μB per formula unit. The value obtained for the energy relative to the elements is 0.30 eV/atom. The polymorph energy (0 for the lowest one) comes out at 104 meV/atom.

Geometry as POSCAR:
```
Tb5Nd3Tm2
1.0
-0.056 4.386 -4.689
8.651 -2.061 -6.427
-8.442 -2.436 -6.573
Tb Nd Tm
10 6 4
Direct
0.250 0.500 0.500
0.750 0.500 0.500
0.502 0.748 0.748
0.998 0.252 0.252
0.498 0.252 0.252
0.002 0.748 0.748
0.265 0.403 0.068
0.735 0.597 0.932
0.765 0.068 0.403
0.235 0.932 0.597
0.250 0.000 0.000
0.750 0.000 0.000
0.411 0.420 0.757
0.589 0.580 0.243
0.911 0.757 0.420
0.089 0.243 0.580
0.095 0.736 0.074
0.905 0.264 0.926
0.595 0.074 0.736
0.405 0.926 0.264
```



The following is a GGA-PBE calculation of crystalline La7As4I4 at its relaxed geometry, from Alexandria via LeMat-Bulk.

Output
For the energy relative to the elements, uncorrected, the calculation gives -1.2868 eV per atom. The calculation puts the total magnetic moment at 2.23 μB per formula unit.

Geometry as POSCAR:
```
La7As4I4
1.0
7.507 0.000 2.084
3.753 11.152 1.042
0.770 0.000 11.788
La As I
14 8 8
Direct
0.500 0.619 0.381
0.500 0.381 0.619
0.119 0.381 0.381
0.881 0.619 0.619
0.753 0.000 0.000
0.247 0.000 0.000
0.718 0.564 0.000
0.282 0.436 0.000
0.282 0.000 0.436
0.718 0.000 0.564
0.000 0.294 0.706
0.000 0.706 0.294
0.294 0.706 0.706
0.706 0.294 0.294
0.101 0.797 0.500
0.399 0.203 0.500
0.399 0.500 0.203
0.101 0.500 0.797
0.899 0.500 0.203
0.601 0.500 0.797
0.601 0.797 0.500
0.899 0.203 0.500
0.878 0.245 0.000
0.122 0.755 0.000
0.122 0.000 0.755
0.878 0.000 0.245
0.500 0.831 0.169
0.500 0.169 0.831
0.331 0.169 0.169
0.669 0.831 0.831
```



The following is a GGA-PBE calculation of crystalline ZrCo3I at its relaxed geometry, from Alexandria via LeMat-Bulk.

Output
For the energy relative to the elements, uncorrected, the calculation gives 1.4520 eV per atom. The calculation puts the total magnetic moment at 2.26 μB per formula unit. The polymorph energy (0 for the lowest one) comes out at 313 meV/atom.

Geometry as POSCAR:
```
ZrCo3I
1.0
4.724 0.000 0.000
0.000 4.724 0.000
0.000 0.000 4.724
I Co Zr
1 3 1
Direct
0.500 0.500 0.500
0.000 0.500 0.000
0.000 0.000 0.500
0.500 0.000 0.000
0.000 0.000 0.000
```



The following is a GGA-PBE calculation of crystalline La2CrSe at its relaxed geometry, from Alexandria via LeMat-Bulk.

Output
For the energy relative to the elements, uncorrected, the calculation gives -0.6009 eV per atom. The calculation puts the total magnetic moment at 2.83 μB per formula unit.

Geometry as POSCAR:
```
La2CrSe
1.0
4.547 0.000 0.000
0.000 4.088 0.008
0.000 2.033 5.743
Cr La Se
1 2 1
Direct
0.500 0.545 0.784
0.000 0.984 0.907
0.500 0.268 0.339
0.000 0.702 0.471
```



The following is a GGA-PBE calculation of crystalline SrHoCdIn at its relaxed geometry, from Alexandria via LeMat-Bulk.

Output
The calculation puts the total magnetic moment at 0.01 μB per formula unit. The value obtained for the energy relative to the elements is -0.38 eV/atom. The polymorph energy (0 for the lowest one) comes out at 0 meV/atom.

Geometry as POSCAR:
```
SrHoCdIn
1.0
-3.376 1.432 -1.157
-1.764 -3.205 1.184
-1.085 3.255 7.196
Sr Ho Cd In
1 1 1 1
Direct
0.000 0.000 0.856
0.000 0.000 0.361
0.500 0.500 0.576
0.500 0.500 0.136
```



The following is a GGA-PBE calculation of crystalline TmCoSi3Tc at its relaxed geometry, from Alexandria via LeMat-Bulk.

Output
For the energy relative to the elements, uncorrected, the calculation gives -0.3346 eV per atom. The calculation puts the total magnetic moment at 0.00 μB per formula unit.

Geometry as POSCAR:
```
TmCoSi3Tc
1.0
5.379 0.000 0.000
0.000 7.419 0.000
0.000 -3.710 5.323
Tm Co Si Tc
2 2 6 2
Direct
0.750 0.245 0.490
0.250 0.755 0.510
0.250 0.035 0.069
0.750 0.965 0.931
0.250 0.230 0.460
0.000 0.242 0.000
0.500 0.758 0.000
0.500 0.242 0.000
0.000 0.758 0.000
0.750 0.770 0.540
0.250 0.440 0.880
0.750 0.560 0.120
```



The following is a GGA-PBE calculation of crystalline Pm4Zn2Os at its relaxed geometry, from Alexandria via LeMat-Bulk.

Output
The calculation puts the total magnetic moment at 0.00 μB per formula unit. The value obtained for the energy relative to the elements is -0.11 eV/atom.

Geometry as POSCAR:
```
Pm4Zn2Os
1.0
4.850 0.000 1.515
2.188 4.329 1.515
-0.072 -0.044 8.750
Pm Zn Os
4 2 1
Direct
0.879 0.879 0.364
0.121 0.121 0.636
0.627 0.627 0.119
0.373 0.373 0.881
0.752 0.752 0.743
0.248 0.248 0.257
0.000 0.000 0.000
```



The following is a GGA-PBE calculation of crystalline K4Hg2F9 at its relaxed geometry, from Alexandria via LeMat-Bulk.

Output
For the energy relative to the elements, uncorrected, the calculation gives -2.0902 eV per atom. The calculation puts the total magnetic moment at 0.00 μB per formula unit.

Geometry as POSCAR:
```
K4Hg2F9
1.0
6.417 0.001 0.013
3.209 5.630 0.055
-0.036 -0.022 16.736
K Hg F
8 4 18
Direct
0.336 0.336 0.976
0.327 0.336 0.476
0.664 0.664 0.024
0.325 0.326 0.193
0.673 0.664 0.524
0.651 0.674 0.307
0.349 0.326 0.693
0.675 0.674 0.807
0.981 0.015 0.355
0.997 0.985 0.145
0.019 0.985 0.645
0.003 0.015 0.855
0.033 0.256 0.767
0.288 0.744 0.733
0.766 0.000 0.750
0.967 0.744 0.233
0.712 0.256 0.267
0.234 0.000 0.250
0.703 0.953 0.412
0.954 0.354 0.409
0.300 0.735 0.413
0.656 0.046 0.088
0.307 0.646 0.091
0.034 0.265 0.087
0.297 0.047 0.588
0.046 0.646 0.591
0.700 0.265 0.587
0.344 0.954 0.912
0.693 0.354 0.909
0.966 0.735 0.913
```



The following is a GGA-PBE calculation of crystalline Ce2HoCu2Si2 at its relaxed geometry, from Alexandria via LeMat-Bulk.

Output
For the energy relative to the elements, uncorrected, the calculation gives -0.5038 eV per atom. The calculation puts the total magnetic moment at 1.28 μB per formula unit.

Geometry as POSCAR:
```
Ce2HoCu2Si2
1.0
4.151 0.000 0.000
2.076 3.595 0.000
2.076 1.198 9.027
Ce Ho Cu Si
2 1 2 2
Direct
0.139 0.139 0.582
0.861 0.861 0.418
0.000 0.000 0.000
0.598 0.598 0.206
0.402 0.402 0.794
0.736 0.736 0.792
0.264 0.264 0.208
```



The following is a GGA-PBE calculation of crystalline KUCu2Te4 at its relaxed geometry, from Alexandria via LeMat-Bulk.

Output
For the energy relative to the elements, uncorrected, the calculation gives -0.2463 eV per atom. The calculation puts the total magnetic moment at 1.29 μB per formula unit.

Geometry as POSCAR:
```
KUCu2Te4
1.0
-3.261 -0.354 6.198
0.567 -5.649 3.942
3.257 1.910 5.789
K U Cu Te
1 1 2 4
Direct
0.000 0.000 0.000
0.500 0.500 0.500
0.144 0.356 0.356
0.856 0.644 0.644
0.457 0.093 0.508
0.057 0.907 0.492
0.943 0.508 0.093
0.543 0.492 0.907
```